5
Lattice="5.7539 0.0000 0.0000 0.0000 5.7539 0.0000 0.0000 0.0000 5.7539" Properties=species:S:1:pos:R:3 comment="NaY3Hg GGA-PBE optimized geometry" m_tot_mub_per_cell=1.4 n_ef_per_ev_atom=2.341 e_above_lowest_polymorph_ev_per_fu=0.000 pbc="T T T"
Na 0.0000 0.0000 0.0000
Y 0.0000 2.8770 2.8770
Y 2.8770 0.0000 2.8770
Y 2.8770 2.8770 0.0000
Hg 2.8770 2.8770 2.8770